No. 1
This record from Alexandria describes a relaxed TlZnCd2 crystal. The functional is PBE.

Output
The value obtained for the total DFT energy (no corrections) is -1.230 eV per atom. The value obtained for the total magnetization is 0.000 μB/cell. As for the formation energy: 53 kJ/mol of formula units. As for the space group: I-42d.

Cell and atoms, written as POSCAR:
```
TlZnCd2
1.0
8.200 0.000 0.000
0.000 8.200 0.000
4.100 4.100 2.993
Tl Zn Cd
2 2 4
Direct
0.000 0.000 0.000
0.750 0.250 0.500
0.500 0.500 0.000
0.250 0.750 0.500
0.588 0.125 0.250
0.162 0.625 0.250
0.375 0.412 0.750
0.875 0.838 0.750
```

=====

No. 2
This record from Alexandria describes a relaxed Tl2Zn2Cd crystal. The functional is PBE.

Output
The value obtained for the total DFT energy (no corrections) is -1.530 eV per atom. The value obtained for the total magnetization is 0.000 μB/cell. As for the formation energy: 53 kJ/mol of formula units. As for the space group: P4/mbm.

Cell and atoms, written as POSCAR:
```
Tl2Zn2Cd
1.0
7.228 0.000 0.000
0.000 7.228 0.000
0.000 0.000 4.576
Tl Zn Cd
4 4 2
Direct
0.177 0.677 0.500
0.677 0.823 0.500
0.823 0.323 0.500
0.323 0.177 0.500
0.373 0.873 0.000
0.873 0.627 0.000
0.627 0.127 0.000
0.127 0.373 0.000
0.000 0.000 0.000
0.500 0.500 0.000
```

=====

No. 3
This record from Alexandria describes a relaxed Tl2ZnCd crystal. The functional is PBE.

Output
The value obtained for the total DFT energy (no corrections) is -1.625 eV per atom. The value obtained for the total magnetization is 0.000 μB/cell. As for the formation energy: 41 kJ/mol of formula units. As for the space group: Pm.

Cell and atoms, written as POSCAR:
```
Tl2ZnCd
1.0
-2.633 2.048 3.303
0.624 -2.956 2.330
4.941 1.407 3.066
Cd Tl Zn
1 2 1
Direct
0.500 0.578 0.760
0.000 0.976 0.957
0.500 0.272 0.306
0.000 0.674 0.477
```

=====

No. 4
This record from Alexandria describes a relaxed TlZn2Cd crystal. The functional is PBE.

Output
The value obtained for the total DFT energy (no corrections) is -1.279 eV per atom. The value obtained for the total magnetization is 0.000 μB/cell. As for the formation energy: 69 kJ/mol of formula units. As for the space group: I-4m2.

Cell and atoms, written as POSCAR:
```
TlZn2Cd
1.0
-0.579 3.607 -4.178
0.881 -2.267 -4.989
-3.114 -1.379 4.382
Cd Tl Zn
1 1 2
Direct
0.500 0.500 0.000
0.750 0.250 0.500
0.000 0.000 0.000
0.250 0.750 0.500
```